Here is a relaxed K3LiTe2 crystal from the Alexandria database. Energies are from GGA-PBE.

Cell lengths 8.4854, 7.1241, 9.3767 Å; angles 112.33, 116.90, 90.00 degrees
Last column: nearest neighbours and their distance in Å.
Element x y z (fractional)
Te: 0.8985 0.6027 0.2055  2 Li 2.93
Te: 0.1015 0.3973 0.7945  2 Li 2.93
Te: 0.6930 0.8973 0.7945  2 Li 2.93
Te: 0.3070 0.1027 0.2055  2 Li 2.93
K: 0.5000 0.7500 0.0000  4 Te 3.45, 2 K 3.56
K: 0.3561 0.6751 0.3503  4 Te 3.45-3.73, 2 Li 3.54
K: 0.9942 0.1751 0.3503  4 Te 3.45-3.73, 2 Li 3.54
K: 0.0058 0.8249 0.6497  4 Te 3.45-3.73, 2 Li 3.54
K: 0.5000 0.2500 0.0000  4 Te 3.45, 2 K 3.56
K: 0.6439 0.3249 0.6497  4 Te 3.45-3.73, 2 Li 3.54
Li: 0.0000 0.2500 0.0000  4 Te 2.93
Li: 0.0000 0.7500 0.0000  4 Te 2.93

Output
- Formation energy without anion corrections: -6.01 eV per formula unit
- Density of states at the Fermi level: 0.00 states/eV/cell
- DFT total energy: -2.92 eV/atom